Entry from Alexandria via LeMat-Bulk: a geometry-optimized Mg3P2O8 structure (PBE).

Unit cell a=5.1198 b=8.3389 c=8.9547 alpha=90.00 beta=120.51 gamma=90.00
Space group P2_1/c (No. 14)
Symmetry-distinct sites (fractional):
Mg: 0.0000 0.0000 0.0000
Mg: 0.0167 0.1439 0.6088
P: 0.3307 0.6950 0.2979
O: 0.1777 0.6369 0.7370
O: 0.1895 0.5758 0.1429
O: 0.2518 0.6446 0.4370
O: 0.3229 0.1984 0.1257

Output
polymorph energy (0 for the lowest one): 0.0 meV/atom
raw formation energy: -2637 meV/atom